1.
# NaYGa4 | Alexandria via LeMat-Bulk | PBE | optimized geometry
# - Calculated density: 5.39 Mg/m³
# - Total magnetic moment: 0.00 μB/f.u.
data_NaYGa4
_chemical_formula_sum 'Na4 Y4 Ga16'
_symmetry_space_group_name_H-M 'F -4 3 m'
_symmetry_Int_Tables_number 216
_symmetry_space_group_name_Hall 'F -4 2 3'
_cell_length_a 7.839
_cell_length_b 7.839
_cell_length_c 7.839
_cell_angle_alpha 90.00
_cell_angle_beta 90.00
_cell_angle_gamma 90.00
loop_
_atom_site_label
_atom_site_type_symbol
_atom_site_fract_x
_atom_site_fract_y
_atom_site_fract_z
Na1 Na 0.000 0.000 0.000
Y1 Y 0.250 0.250 0.750
Ga1 Ga 0.125 0.125 0.375

2.
# NaY2Ga2 | Alexandria via LeMat-Bulk | PBE | optimized geometry
# - Calculated density: 3.98 Mg/m³
# - Total magnetic moment: 0.00 μB/f.u.
data_NaY2Ga2
_chemical_formula_sum 'Na2 Y4 Ga4'
_symmetry_space_group_name_H-M 'I 4/m m m'
_symmetry_Int_Tables_number 139
_symmetry_space_group_name_Hall '-I 4 2'
_cell_length_a 4.773
_cell_length_b 4.773
_cell_length_c 12.472
_cell_angle_alpha 90.00
_cell_angle_beta 90.00
_cell_angle_gamma 90.00
loop_
_atom_site_label
_atom_site_type_symbol
_atom_site_fract_x
_atom_site_fract_y
_atom_site_fract_z
Na1 Na 0.000 0.000 0.000
Y1 Y 0.000 0.500 0.250
Ga1 Ga 0.000 0.000 0.402

3.
# NaY2Ga2 | Alexandria via LeMat-Bulk | PBE | optimized geometry
# - Calculated density: 4.37 Mg/m³
# - Total magnetic moment: 0.00 μB/f.u.
data_NaY2Ga2
_chemical_formula_sum 'Na2 Y4 Ga4'
_symmetry_space_group_name_H-M 'P 4/m b m'
_symmetry_Int_Tables_number 127
_symmetry_space_group_name_Hall '-P 4 2ab'
_cell_length_a 8.885
_cell_length_b 8.885
_cell_length_c 3.273
_cell_angle_alpha 90.00
_cell_angle_beta 90.00
_cell_angle_gamma 90.00
loop_
_atom_site_label
_atom_site_type_symbol
_atom_site_fract_x
_atom_site_fract_y
_atom_site_fract_z
Na1 Na 0.000 0.000 0.000
Y1 Y 0.133 0.367 0.000
Ga1 Ga 0.169 0.669 0.500

4.
# NaYGa4 | Alexandria via LeMat-Bulk | PBE | optimized geometry
# - Calculated density: 5.33 Mg/m³
# - Total magnetic moment: 0.00 μB/f.u.
data_NaYGa4
_chemical_formula_sum 'Na2 Y2 Ga8'
_symmetry_space_group_name_H-M 'I m m m'
_symmetry_Int_Tables_number 71
_symmetry_space_group_name_Hall '-I 2 2'
_cell_length_a 4.457
_cell_length_b 7.001
_cell_length_c 7.805
_cell_angle_alpha 90.00
_cell_angle_beta 90.00
_cell_angle_gamma 90.00
loop_
_atom_site_label
_atom_site_type_symbol
_atom_site_fract_x
_atom_site_fract_y
_atom_site_fract_z
Na1 Na 0.000 0.000 0.000
Y1 Y 0.000 0.500 0.000
Ga1 Ga 0.000 0.289 0.332

Result set for E_form: -31.1, -5.2, -25.1, -36.3 kJ/mol of atoms, one per record in the order listed.